Record 1
Entry from Alexandria: crystalline La8P3PbI4 at its relaxed geometry (PBE).

Output
V, Å³/f.u.: 525.4
DFT total energy, eV/f.u.: -86.30
Raw formation energy, meV/atom: -1296

Unit cell a=8.8145 b=8.8145 c=23.4235 alpha=90.00 beta=90.00 gamma=120.00
With the nearest neighbours (Å) after each atom.
Space group R-3m (No. 166, hexagonal axes)
Symmetry-distinct sites (fractional):
La1 0.0000 0.0000 0.2305 x6  3 P 2.95
La2 0.0239 0.5120 0.7662 x18  2 P 2.92, 1 Pb 3.15
P1 0.0000 0.5000 0.5000 x9  6 La 2.92-2.95
Pb1 0.0000 0.0000 0.5000 x3  6 La 3.15
I1 0.0000 0.0000 0.0000 x3  6 La 3.32
I2 0.0000 0.5000 0.0000 x9  6 La 3.50-3.52

***

Record 2
Entry from Alexandria: crystalline La4PPbI2 at its relaxed geometry (PBE).

Output
V, Å³/f.u.: 273.0
DFT total energy, eV/f.u.: -41.10
Raw formation energy, meV/atom: -1146

Unit cell a=7.8951 b=4.4665 c=8.1555 alpha=90.00 beta=108.35 gamma=90.00
With the nearest neighbours (Å) after each atom.
Space group P2/m (No. 10)
Symmetry-distinct sites (fractional):
La1 0.2113 0.0000 0.2013 x2  2 P 2.96, 1 Pb 3.20
La2 0.2344 0.5000 0.7865 x2  1 P 2.91, 2 Pb 3.18
P1 0.0000 0.5000 0.0000 x1  6 La 2.91-2.96
Pb1 0.5000 0.0000 0.0000 x1  6 La 3.18-3.20
I1 0.0000 0.0000 0.5000 x1  6 La 3.34-3.36
I2 0.5000 0.5000 0.5000 x1  6 La 3.55-3.60

***

Record 3
Entry from Alexandria: crystalline La8PPd3I4 at its relaxed geometry (PBE).

Output
V, Å³/f.u.: 518.6
DFT total energy, eV/f.u.: -83.18
Raw formation energy, meV/atom: -1036

Unit cell a=8.6639 b=8.6639 c=23.9291 alpha=90.00 beta=90.00 gamma=120.00
With the nearest neighbours (Å) after each atom.
Space group R-3m (No. 166, hexagonal axes)
Symmetry-distinct sites (fractional):
La1 0.0000 0.0000 0.2307 x6  3 Pd 2.93
La2 0.0048 0.5024 0.2338 x18  1 P 2.94, 2 Pd 2.99
P1 0.0000 0.0000 0.5000 x3  6 La 2.94
Pd1 0.0000 0.5000 0.5000 x9  6 La 2.93-2.99
I1 0.0000 0.0000 0.0000 x3  6 La 3.48
I2 0.0000 0.5000 0.0000 x9  6 La 3.44-3.51

***

Record 4
Entry from Alexandria: crystalline La6P2PdI3 at its relaxed geometry (PBE).

Output
V, Å³/f.u.: 376.6
DFT total energy, eV/f.u.: -65.17
Raw formation energy, meV/atom: -1246

Unit cell a=7.5250 b=13.0039 c=8.0983 alpha=90.00 beta=108.13 gamma=90.00
With the nearest neighbours (Å) after each atom.
Space group C2/m (No. 12)
Symmetry-distinct sites (fractional):
La1 0.2246 0.0000 0.2029 x4  2 P 2.92, 1 Pd 3.02
La2 0.2370 0.3295 0.2016 x8  2 P 2.92-2.93, 1 Pd 2.99
P1 0.0000 0.1664 0.0000 x4  6 La 2.92-2.93
Pd1 0.0000 0.5000 0.0000 x2  6 La 2.99-3.02
I1 0.0000 0.0000 0.5000 x2  6 La 3.34-3.42
I2 0.0000 0.3328 0.5000 x4  6 La 3.35-3.42

***

Record 5
Entry from Alexandria: crystalline La2PmP2I2 at its relaxed geometry (PBE).

Output
V, Å³/f.u.: 242.2
DFT total energy, eV/f.u.: -37.07
Raw formation energy, meV/atom: -1221

Unit cell a=5.3871 b=5.3871 c=16.6930 alpha=90.00 beta=90.00 gamma=90.00
With the nearest neighbours (Å) after each atom.
Space group I4/mmm (No. 139)
Symmetry-distinct sites (fractional):
La1 0.0000 0.0000 0.0980 x4  4 P 3.15, 1 La 3.27, 1 I 3.48
Pm1 0.0000 0.0000 0.5000 x2  4 P 2.69
P1 0.0000 0.5000 0.0000 x4  2 Pm 2.69
I1 0.0000 0.0000 0.3066 x4  1 Pm 3.23, 1 La 3.48

***

Record 6
Entry from Alexandria: crystalline La2PrP2I2 at its relaxed geometry (PBE).

Output
V, Å³/f.u.: 248.2
DFT total energy, eV/f.u.: -36.80
Raw formation energy, meV/atom: -1178

Unit cell a=5.4563 b=5.4563 c=16.6723 alpha=90.00 beta=90.00 gamma=90.00
With the nearest neighbours (Å) after each atom.
Space group I4/mmm (No. 139)
Symmetry-distinct sites (fractional):
La1 0.0000 0.0000 0.0979 x4  4 P 3.18, 1 La 3.27, 1 I 3.44
Pr1 0.0000 0.0000 0.5000 x2  4 P 2.73
P1 0.0000 0.5000 0.0000 x4  2 Pr 2.73
I1 0.0000 0.0000 0.3044 x4  1 Pr 3.26, 1 La 3.44

***

Record 7
Entry from Alexandria: crystalline La6P2PtI3 at its relaxed geometry (PBE).

Output
V, Å³/f.u.: 378.0
DFT total energy, eV/f.u.: -66.97
Raw formation energy, meV/atom: -1324

Unit cell a=7.5465 b=13.0215 c=8.1001 alpha=90.00 beta=108.24 gamma=90.00
With the nearest neighbours (Å) after each atom.
Space group C2/m (No. 12)
Symmetry-distinct sites (fractional):
La1 0.2285 0.0000 0.2029 x4  2 P 2.93, 1 Pt 3.00
La2 0.2336 0.3327 0.1995 x8  2 P 2.94-2.95, 1 Pt 2.95
P1 0.0000 0.1665 0.0000 x4  6 La 2.93-2.95
Pt1 0.0000 0.5000 0.0000 x2  6 La 2.95-3.00
I1 0.0000 0.0000 0.5000 x2  6 La 3.37-3.41
I2 0.0000 0.3304 0.5000 x4  6 La 3.38-3.43

***

Record 8
Entry from Alexandria: crystalline La8PPt3I3 at its relaxed geometry (PBE).

Output
V, Å³/f.u.: 514.7
DFT total energy, eV/f.u.: -84.23
Raw formation energy, meV/atom: -1109

Unit cell a=15.0474 b=8.7024 c=9.3293 alpha=90.00 beta=122.58 gamma=90.00
With the nearest neighbours (Å) after each atom.
Space group C2/m (No. 12)
Symmetry-distinct sites (fractional):
La1 0.0182 0.2478 0.3018 x8  2 Pt 2.94-2.95, 1 P 2.98
La2 0.2304 0.0000 0.6917 x4  3 Pt 2.92-2.93
La3 0.2344 0.5000 0.6987 x4  2 Pt 2.95, 1 P 2.97
P1 0.0000 0.5000 0.5000 x2  6 La 2.97-2.98
Pt1 0.0000 0.0000 0.5000 x2  6 La 2.92-2.95
Pt2 0.2500 0.2500 0.5000 x4  6 La 2.93-2.95
I1 0.0000 0.5000 0.0000 x2  6 La 3.46-3.49
I2 0.2500 0.2500 0.0000 x4  6 La 3.46-3.49

***

Record 9
Entry from Alexandria: crystalline La2PPtI at its relaxed geometry (PBE).

Output
V, Å³/f.u.: 171.6
DFT total energy, eV/f.u.: -21.07
Raw formation energy, meV/atom: 356

Unit cell a=5.8895 b=5.8895 c=4.9478 alpha=90.00 beta=90.00 gamma=90.00
With the nearest neighbours (Å) after each atom.
Space group P4/mmm (No. 123)
Symmetry-distinct sites (fractional):
La1 0.0000 0.5000 0.0000 x2  2 I 2.94
P1 0.0000 0.0000 0.5000 x1  2 I 2.47
Pt1 0.5000 0.5000 0.5000 x1  8 La 3.85, 4 P 4.16
I1 0.0000 0.0000 0.0000 x1  2 P 2.47

***

Record 10
Entry from Alexandria: crystalline La2PuP2I2 at its relaxed geometry (PBE).

Output
V, Å³/f.u.: 227.2
DFT total energy, eV/f.u.: -46.25
Raw formation energy, meV/atom: -1163

Unit cell a=5.2432 b=5.2432 c=16.5310 alpha=90.00 beta=90.00 gamma=90.00
With the nearest neighbours (Å) after each atom.
Space group I4/mmm (No. 139)
Symmetry-distinct sites (fractional):
La1 0.0000 0.0000 0.1009 x4  4 P 3.11, 1 La 3.34, 1 I 3.41
Pu1 0.0000 0.0000 0.5000 x2  4 P 2.62
P1 0.0000 0.5000 0.0000 x4  2 Pu 2.62
I1 0.0000 0.0000 0.3073 x4  1 Pu 3.19, 1 La 3.41

***

Record 11
Entry from Alexandria: crystalline RbLaPI2 at its relaxed geometry (PBE).

Output
V, Å³/f.u.: 227.9
DFT total energy, eV/f.u.: -19.21
Raw formation energy, meV/atom: -961

Unit cell a=6.4656 b=6.4656 c=5.4509 alpha=90.00 beta=90.00 gamma=90.00
With the nearest neighbours (Å) after each atom.
Space group P4/mmm (No. 123)
Symmetry-distinct sites (fractional):
Rb1 0.0000 0.0000 0.0000 x1  8 I 4.23, 4 P 4.57
La1 0.5000 0.5000 0.5000 x1  2 P 2.73
P1 0.5000 0.5000 0.0000 x1  2 La 2.73
I1 0.0000 0.5000 0.5000 x2  2 La 3.23

***

Record 12
Entry from Alexandria: crystalline Rb2LaPI6 at its relaxed geometry (PBE).

Output
V, Å³/f.u.: 508.9
DFT total energy, eV/f.u.: -30.87
Raw formation energy, meV/atom: -930

Unit cell a=9.3025 b=9.3025 c=11.7617 alpha=90.00 beta=90.00 gamma=90.00
With the nearest neighbours (Å) after each atom.
Space group I4/mmm (No. 139)
Symmetry-distinct sites (fractional):
Rb1 0.0000 0.5000 0.2500 x4  12 I 4.41-4.66
La1 0.0000 0.0000 0.0000 x2  6 I 3.14-3.17
P1 0.0000 0.0000 0.5000 x2  2 I 2.71
I1 0.0000 0.0000 0.2697 x4  1 P 2.71
I2 0.2386 0.2386 0.0000 x8  1 La 3.14, 1 P 3.44